Record 1
DFT (SCAN) results for a crystal of SrAg relaxed with PBEsol.

abc: 7.827 7.827 7.827
angles: 34.79 34.79 34.79
Sites, in units of the cell vectors:
Sr 0.087 0.087 0.087
Sr 0.913 0.913 0.913
Ag 0.332 0.332 0.332
Ag 0.668 0.668 0.668

DOS(E_F) = 2.19 states/eV/cell
formation enthalpy at 0 K = -23 kJ per mole of atoms
energy = -108.2 eV for the cell shown
SG = R-3m (166)
magnetic moment = 0.0000 μB/atom



Record 2
DFT (SCAN) results for a crystal of SrAg2 relaxed with PBEsol.

abc: 5.076 5.076 5.076
angles: 60.00 60.00 60.00
Sites, in units of the cell vectors:
Sr 0.000 0.000 0.000
Ag 0.250 0.250 0.250
Ag 0.750 0.750 0.750

DOS(E_F) = 0.74 states/eV/cell
formation enthalpy at 0 K = 19 kJ per mole of atoms
energy = -84.4 eV for the cell shown
SG = Fm-3m (225)
magnetic moment = 0.0000 μB/atom



Record 3
DFT (SCAN) results for a crystal of SrAg3 relaxed with PBEsol.

abc: 5.767 5.767 5.767
angles: 47.66 47.66 47.66
Sites, in units of the cell vectors:
Sr 0.000 0.000 0.000
Ag 0.204 0.204 0.204
Ag 0.500 0.500 0.500
Ag 0.796 0.796 0.796

DOS(E_F) = 1.15 states/eV/cell
formation enthalpy at 0 K = -18 kJ per mole of atoms
energy = -117.1 eV for the cell shown
SG = R-3m (166)
magnetic moment = 0.0000 μB/atom



Record 4
DFT (SCAN) results for a crystal of Sr3Ag2 relaxed with PBEsol.

abc: 8.318 8.318 8.318
angles: 72.22 72.22 72.22
Sites, in units of the cell vectors:
Sr 0.000 0.000 0.000
Sr 0.163 0.664 0.390
Sr 0.206 0.206 0.206
Sr 0.336 0.610 0.837
Sr 0.390 0.163 0.664
Sr 0.610 0.837 0.336
Sr 0.664 0.390 0.163
Sr 0.794 0.794 0.794
Sr 0.837 0.336 0.610
Ag 0.041 0.412 0.860
Ag 0.140 0.959 0.588
Ag 0.412 0.860 0.041
Ag 0.588 0.140 0.959
Ag 0.860 0.041 0.412
Ag 0.959 0.588 0.140

DOS(E_F) = 9.69 states/eV/cell
formation enthalpy at 0 K = -27 kJ per mole of atoms
energy = -392.8 eV for the cell shown
SG = R-3 (148)
magnetic moment = 0.0004 μB/atom



Record 5
DFT (SCAN) results for a crystal of Sr2Ag relaxed with PBEsol.

abc: 7.366 7.366 7.587
angles: 90.00 90.00 147.03
Sites, in units of the cell vectors:
Sr 0.014 0.986 0.500
Sr 0.281 0.719 0.314
Sr 0.719 0.281 0.814
Sr 0.986 0.014 0.000
Ag 0.386 0.614 0.721
Ag 0.614 0.386 0.221

DOS(E_F) = 4.09 states/eV/cell
formation enthalpy at 0 K = -19 kJ per mole of atoms
energy = -153.0 eV for the cell shown
SG = Cmc2_1 (36)
magnetic moment = 0.0003 μB/atom



Record 6
DFT (SCAN) results for a crystal of Sr3Ag relaxed with PBEsol.

abc: 8.363 10.621 7.240
angles: 90.00 90.00 90.00
Sites, in units of the cell vectors:
Sr 0.037 0.250 0.145
Sr 0.177 0.064 0.662
Sr 0.177 0.436 0.662
Sr 0.323 0.564 0.162
Sr 0.323 0.936 0.162
Sr 0.463 0.750 0.645
Sr 0.537 0.250 0.355
Sr 0.677 0.064 0.838
Sr 0.677 0.436 0.838
Sr 0.823 0.564 0.338
Sr 0.823 0.936 0.338
Sr 0.963 0.750 0.855
Ag 0.121 0.750 0.447
Ag 0.379 0.250 0.947
Ag 0.621 0.750 0.053
Ag 0.879 0.250 0.553

DOS(E_F) = 13.98 states/eV/cell
formation enthalpy at 0 K = -17 kJ per mole of atoms
energy = -395.6 eV for the cell shown
SG = Pnma (62)
magnetic moment = 0.0539 μB/atom



Record 7
DFT (SCAN) results for a crystal of Sr2Ag relaxed with PBEsol.

abc: 10.636 10.636 10.636
angles: 60.00 60.00 60.00
Sites, in units of the cell vectors:
Sr 0.000 0.000 0.000
Sr 0.000 0.000 0.500
Sr 0.000 0.500 0.000
Sr 0.185 0.185 0.565
Sr 0.185 0.565 0.185
Sr 0.185 0.565 0.565
Sr 0.435 0.435 0.815
Sr 0.435 0.815 0.435
Sr 0.435 0.815 0.815
Sr 0.500 0.000 0.000
Sr 0.565 0.185 0.185
Sr 0.565 0.185 0.565
Sr 0.565 0.565 0.185
Sr 0.815 0.435 0.435
Sr 0.815 0.435 0.815
Sr 0.815 0.815 0.435
Ag 0.167 0.778 0.778
Ag 0.222 0.222 0.222
Ag 0.222 0.222 0.833
Ag 0.222 0.833 0.222
Ag 0.778 0.167 0.778
Ag 0.778 0.778 0.167
Ag 0.778 0.778 0.778
Ag 0.833 0.222 0.222

DOS(E_F) = 17.20 states/eV/cell
formation enthalpy at 0 K = -14 kJ per mole of atoms
energy = -610.9 eV for the cell shown
SG = Fd-3m (227)
magnetic moment = 0.0600 μB/atom



Record 8
DFT (SCAN) results for a crystal of Sr2Ag relaxed with PBEsol.

abc: 7.922 7.922 7.766
angles: 112.62 112.62 31.01
Sites, in units of the cell vectors:
Sr 0.020 0.020 0.261
Sr 0.279 0.279 0.247
Sr 0.721 0.721 0.753
Sr 0.980 0.980 0.739
Ag 0.395 0.395 0.950
Ag 0.605 0.605 0.050

DOS(E_F) = 4.74 states/eV/cell
formation enthalpy at 0 K = -20 kJ per mole of atoms
energy = -153.1 eV for the cell shown
SG = C2/m (12)
magnetic moment = 0.0061 μB/atom



Question: DOS(E_F) of number 5 (Sr2Ag)?
Answer: 4.09 states/eV/cell



Question: The lowest formation enthalpy at 0 K belongs to which entry?
Answer: Sr3Ag2